Entry from the Alexandria database: crystalline AlFeO3 at its relaxed geometry (PBE+U).

Computed properties:
**Final energy**: -6.75 eV per atom
**Density**: 4.8 g/cm3
**Crystal system**: trigonal
**Spin magnetization**: 1.00 μB per formula unit
**Symmetry**: R-3

a b c (Å): 4.8722 4.8720 5.2253
angles (deg): 62.21 62.21 60.00
With the nearest neighbours (Å) after each atom.
Fractional positions:
O 0.2428 0.9461 0.2558  2 Al 1.87-2.00, 2 Fe 1.96-1.98
O 0.9462 0.5553 0.2557  2 Al 1.87-2.00, 2 Fe 1.96-1.98
O 0.0538 0.4447 0.7443  2 Al 1.87-2.00, 2 Fe 1.96-1.98
O 0.5552 0.2428 0.2558  2 Al 1.87-2.00, 2 Fe 1.96-1.98
O 0.7572 0.0539 0.7442  2 Al 1.87-2.00, 2 Fe 1.96-1.98
O 0.4448 0.7572 0.7442  2 Al 1.87-2.00, 2 Fe 1.96-1.98
Fe 0.3476 0.3476 0.9572  6 O 1.96-1.98
Fe 0.6524 0.6524 0.0428  6 O 1.96-1.98
Al 0.8532 0.8532 0.4404  6 O 1.87-2.00
Al 0.1468 0.1468 0.5596  6 O 1.87-2.00